[1]
# CaLa2Co SCAN PBEsol geometry
# Relative energy among the computed polymorphs ... 0.00 eV/f.u.
data_CaLa2Co
_symmetry_space_group_name_H-M 'R -3 m'
_symmetry_Int_Tables_number 166
_symmetry_space_group_name_Hall '-R 3 2"'
_cell_length_a 3.9406
_cell_length_b 3.9406
_cell_length_c 28.7351
_cell_angle_alpha 90.00
_cell_angle_beta 90.00
_cell_angle_gamma 120.00
loop_
_atom_site_label
_atom_site_type_symbol
_atom_site_fract_x
_atom_site_fract_y
_atom_site_fract_z
Ca1 Ca 0.0000 0.0000 0.0000
La1 La 0.0000 0.0000 0.2183
Co1 Co 0.0000 0.0000 0.5000


[2]
# Be2FeIr2 SCAN PBEsol geometry
# Raw total energy ... -169.9 eV per formula unit
data_Be2FeIr2
_symmetry_space_group_name_H-M 'I 4/m m m'
_symmetry_Int_Tables_number 139
_symmetry_space_group_name_Hall '-I 4 2'
_cell_length_a 4.0384
_cell_length_b 4.0384
_cell_length_c 7.5637
_cell_angle_alpha 90.00
_cell_angle_beta 90.00
_cell_angle_gamma 90.00
loop_
_atom_site_label
_atom_site_type_symbol
_atom_site_fract_x
_atom_site_fract_y
_atom_site_fract_z
Be1 Be 0.0000 0.0000 0.1402
Fe1 Fe 0.0000 0.0000 0.5000
Ir1 Ir 0.0000 0.5000 0.2500


[3]
# Mg3Mo12Se16 SCAN PBEsol geometry
# Uncorrected formation energy ... -0.7023 eV per atom
data_Mg3Mo12Se16
_symmetry_space_group_name_H-M 'P 1'
_symmetry_Int_Tables_number 1
_cell_length_a 6.8388
_cell_length_b 6.8634
_cell_length_c 13.6085
_cell_angle_alpha 93.90
_cell_angle_beta 93.26
_cell_angle_gamma 97.44
loop_
_symmetry_equiv_pos_as_xyz
'x,y,z'
loop_
_atom_site_label
_atom_site_type_symbol
_atom_site_fract_x
_atom_site_fract_y
_atom_site_fract_z
Mg1 Mg 0.0000 0.0000 0.0000
Mg2 Mg 0.0612 0.9579 0.5363
Mg3 Mg 0.5296 0.9788 0.2680
Mo1 Mo 0.2593 0.4101 0.0399
Mo2 Mo 0.2796 0.3698 0.5425
Mo3 Mo 0.4435 0.5314 0.8844
Mo4 Mo 0.4606 0.5036 0.3871
Mo5 Mo 0.4792 0.7545 0.0570
Mo6 Mo 0.4975 0.7233 0.5608
Mo7 Mo 0.5633 0.2348 0.9749
Mo8 Mo 0.5816 0.2036 0.4787
Mo9 Mo 0.6002 0.4546 0.1486
Mo10 Mo 0.6173 0.4267 0.6514
Mo11 Mo 0.7812 0.5884 0.9932
Mo12 Mo 0.8014 0.5480 0.4958
Se1 Se 0.1561 0.6939 0.9435
Se2 Se 0.1717 0.6574 0.4482
Se3 Se 0.2325 0.1935 0.8735
Se4 Se 0.2480 0.1616 0.3741
Se5 Se 0.3037 0.6150 0.2089
Se6 Se 0.3112 0.5879 0.7022
Se7 Se 0.3675 0.1126 0.1201
Se8 Se 0.4106 0.0839 0.6354
Se9 Se 0.6505 0.8743 0.9004
Se10 Se 0.6934 0.8456 0.4156
Se11 Se 0.7497 0.3703 0.8335
Se12 Se 0.7569 0.3430 0.3268
Se13 Se 0.8126 0.7967 0.1616
Se14 Se 0.8283 0.7646 0.6623
Se15 Se 0.8890 0.3008 0.0875
Se16 Se 0.9047 0.2642 0.5921


[4]
# La2ScSb2 SCAN PBEsol geometry
# Uncorrected formation energy ... -1.0841 eV per atom
data_La2ScSb2
_symmetry_space_group_name_H-M 'P 4/m b m'
_symmetry_Int_Tables_number 127
_symmetry_space_group_name_Hall '-P 4 2ab'
_cell_length_a 8.0646
_cell_length_b 8.0646
_cell_length_c 4.4462
_cell_angle_alpha 90.00
_cell_angle_beta 90.00
_cell_angle_gamma 90.00
loop_
_atom_site_label
_atom_site_type_symbol
_atom_site_fract_x
_atom_site_fract_y
_atom_site_fract_z
La1 La 0.1548 0.3452 0.0000
Sc1 Sc 0.0000 0.0000 0.5000
Sb1 Sb 0.1522 0.6522 0.5000


[5]
# Li2GaCu3 SCAN PBEsol geometry
# Raw total energy ... -67.9 eV per formula unit
data_Li2GaCu3
_symmetry_space_group_name_H-M 'R -3 m'
_symmetry_Int_Tables_number 166
_symmetry_space_group_name_Hall '-R 3 2"'
_cell_length_a 4.8984
_cell_length_b 4.8984
_cell_length_c 11.8213
_cell_angle_alpha 90.00
_cell_angle_beta 90.00
_cell_angle_gamma 120.00
loop_
_atom_site_label
_atom_site_type_symbol
_atom_site_fract_x
_atom_site_fract_y
_atom_site_fract_z
Li1 Li 0.0000 0.0000 0.1240
Ga1 Ga 0.0000 0.0000 0.5000
Cu1 Cu 0.0000 0.5000 0.0000


[6]
# CaLa2Mg SCAN PBEsol geometry
# Raw total energy ... -100.9 eV per formula unit
data_CaLa2Mg
_symmetry_space_group_name_H-M 'P 4 m m'
_symmetry_Int_Tables_number 99
_cell_length_a 3.6514
_cell_length_b 3.6514
_cell_length_c 9.8866
_cell_angle_alpha 90.00
_cell_angle_beta 90.00
_cell_angle_gamma 90.00
loop_
_symmetry_equiv_pos_as_xyz
'x,y,z'
'-y,x,z'
'-x,-y,z'
'y,-x,z'
'-x,y,z'
'y,x,z'
'x,-y,z'
'-y,-x,z'
loop_
_atom_site_label
_atom_site_type_symbol
_atom_site_fract_x
_atom_site_fract_y
_atom_site_fract_z
Ca1 Ca 0.0000 0.0000 0.0000
La1 La 0.0000 0.0000 0.5410
La2 La 0.5000 0.5000 0.2902
Mg1 Mg 0.5000 0.5000 0.7724